This record from the Alexandria database describes a relaxed structure of Ac3P2IrN6. The functional is GGA-PBE.

```
Ac3P2IrN6
1.0
-5.2423 -1.7134 1.0154
3.6374 -3.4450 -2.5199
1.9546 -2.3800 6.0751
N Ac P Ir
6 3 2 1
direct
0.1715 0.8285 0.2967
0.8285 0.6571 0.7033
0.8285 0.1715 0.7033
0.1715 0.3429 0.2967
0.3429 0.1715 0.7033
0.6571 0.8285 0.2967
0.3333 0.6667 0.6582
0.6667 0.3333 0.3418
0.0000 0.0000 0.0000
0.6667 0.3333 0.7894
0.3333 0.6667 0.2106
0.0000 0.0000 0.5000
```

As for the final energy: -7.58 eV/atom. The value obtained for the formation energy without anion corrections is -0.746 eV/atom. Its symmetry is No. 164. As for the crystal system: trigonal.